Arrangement a

GGA-PBE Ta3TlGa, relaxed; space-group type = No. 221
1.0
4.7626 0.0000 0.0000
0.0000 4.7626 0.0000
0.0000 0.0000 4.7626
Ta Ga Tl
3 1 1
direct
0.0000 0.0000 0.5000 Ta
0.5000 0.0000 0.0000 Ta
0.0000 0.5000 0.0000 Ta
0.0000 0.0000 0.0000 Ga
0.5000 0.5000 0.5000 Tl

=====

Arrangement b

GGA-PBE Ta3TlGa, relaxed; space-group type = No. 221
1.0
5.0701 0.0000 0.0000
0.0000 5.0701 0.0000
0.0000 0.0000 5.0701
Ga Ta Tl
1 3 1
direct
0.5000 0.5000 0.5000 Ga
0.0000 0.5000 0.0000 Ta
0.0000 0.0000 0.5000 Ta
0.5000 0.0000 0.0000 Ta
0.0000 0.0000 0.0000 Tl

=====

Of them, the most stable is arrangement a and the least stable is arrangement b.

=====

Arrangement a

GGA-PBE TaTlGa2, relaxed; space-group type = No. 122
1.0
-0.8312 5.6069 5.1198
3.9569 -4.0759 5.1061
4.0278 1.9858 4.1768
Tl Ga Ta
2 4 2
direct
0.7500 0.2500 0.5000 Tl
0.0000 0.0000 0.0000 Tl
0.8750 0.8521 0.7500 Ga
0.1479 0.6250 0.2500 Ga
0.3750 0.3979 0.7500 Ga
0.6021 0.1250 0.2500 Ga
0.5000 0.5000 0.0000 Ta
0.2500 0.7500 0.5000 Ta

=====

Arrangement b

GGA-PBE TaTlGa2, relaxed; space-group type = No. 166
1.0
-1.1001 -0.9779 2.7365
-0.8563 -2.9651 0.3603
8.4368 -3.5943 3.8714
Tl Ga Ta
1 2 1
direct
0.0000 0.0000 0.0000 Tl
0.0937 0.0937 0.7188 Ga
0.9063 0.9063 0.2812 Ga
0.5000 0.5000 0.5000 Ta

=====

Arrangement c

GGA-PBE TaTlGa2, relaxed; space-group type = No. 225
1.0
0.0000 3.4191 3.4191
3.4191 0.0000 3.4191
3.4191 3.4191 0.0000
Ga Ta Tl
2 1 1
direct
0.2500 0.2500 0.2500 Ga
0.7500 0.7500 0.7500 Ga
0.0000 0.0000 0.0000 Ta
0.5000 0.5000 0.5000 Tl

=====

Of them, the most stable is arrangement b and the least stable is arrangement c.

=====

Arrangement a

GGA-PBE Ta2Tl2Ga, relaxed; space-group type = No. 127
1.0
-2.9033 -6.1008 -0.9383
6.1180 -2.9817 0.4566
-0.5497 -0.4347 4.5274
Ta Tl Ga
4 4 2
direct
0.8543 0.6457 0.0000 Ta
0.3543 0.8543 0.0000 Ta
0.6457 0.1457 0.0000 Ta
0.1457 0.3543 0.0000 Ta
0.6658 0.8342 0.5000 Tl
0.1658 0.6658 0.5000 Tl
0.3342 0.1658 0.5000 Tl
0.8342 0.3342 0.5000 Tl
0.0000 0.0000 0.0000 Ga
0.5000 0.5000 0.0000 Ga

=====

Arrangement b

GGA-PBE Ta2Tl2Ga, relaxed; space-group type = No. 139
1.0
-0.9704 -2.5903 2.8908
3.8483 -0.2530 1.0651
0.5462 3.9322 6.4757
Tl Ta Ga
2 2 1
direct
0.2500 0.7500 0.5000 Tl
0.7500 0.2500 0.5000 Tl
0.4127 0.4127 0.1746 Ta
0.5873 0.5873 0.8254 Ta
0.0000 0.0000 0.0000 Ga

=====

Of them, the most stable is arrangement a and the least stable is arrangement b.

=====

Arrangement a

GGA-PBE Ta2TlGa, relaxed; space-group type = No. 122
1.0
-2.6940 1.8090 2.3905
-0.0070 -3.2178 2.4271
6.1902 3.3658 7.8268
Tl Ga Ta
2 2 4
direct
0.7500 0.2500 0.5000 Tl
0.0000 0.0000 0.0000 Tl
0.2500 0.7500 0.5000 Ga
0.5000 0.5000 0.0000 Ga
0.1325 0.6250 0.2500 Ta
0.3750 0.3825 0.7500 Ta
0.8750 0.8675 0.7500 Ta
0.6175 0.1250 0.2500 Ta

=====

Arrangement b

GGA-PBE Ta2TlGa, relaxed; space-group type = No. 225
1.0
-0.5388 2.6840 3.8428
-4.2841 0.5826 1.8889
-1.0420 -1.9975 4.1455
Ta Ga Tl
2 1 1
direct
0.2500 0.2500 0.2500 Ta
0.7500 0.7500 0.7500 Ta
0.0000 0.0000 0.0000 Ga
0.5000 0.5000 0.5000 Tl

=====

Of them, the most stable is arrangement b and the least stable is arrangement a.

=====

Arrangement a

GGA-PBE TaTl2Ga, relaxed; space-group type = No. 225
1.0
0.0000 3.5844 3.5844
3.5844 0.0000 3.5844
3.5844 3.5844 0.0000
Ta Tl Ga
1 2 1
direct
0.5000 0.5000 0.5000 Ta
0.7500 0.7500 0.7500 Tl
0.2500 0.2500 0.2500 Tl
0.0000 0.0000 0.0000 Ga

=====

Arrangement b

GGA-PBE TaTl2Ga, relaxed; space-group type = No. 122
1.0
-2.7423 5.0929 5.4851
0.0915 -5.8184 5.4481
1.3996 0.3426 6.1741
Ga Tl Ta
2 4 2
direct
0.2500 0.7500 0.5000 Ga
0.5000 0.5000 0.0000 Ga
0.3750 0.3786 0.7500 Tl
0.8750 0.8714 0.7500 Tl
0.1286 0.6250 0.2500 Tl
0.6214 0.1250 0.2500 Tl
0.0000 0.0000 0.0000 Ta
0.7500 0.2500 0.5000 Ta

=====

Of them, the most stable is arrangement b and the least stable is arrangement a.

=====

Arrangement a

GGA-PBE UTaGa, relaxed; space-group type = No. 107
1.0
2.7991 0.0000 0.0000
0.0000 2.7991 0.0000
-1.3996 -1.3996 7.1004
U Ga Ta
1 1 1
direct
0.6203 0.6203 0.2406 U
0.2910 0.2910 0.5821 Ga
0.9387 0.9387 0.8773 Ta

=====

Arrangement b

GGA-PBE UTaGa, relaxed; space-group type = No. 187
1.0
2.8019 0.0000 0.0000
0.0000 4.8848 0.0000
0.0000 -2.4424 4.2304
U Ga Ta
1 1 1
direct
0.3333 0.6667 0.3333 U
0.8334 0.0000 0.0000 Ga
0.8333 0.3333 0.6667 Ta

=====

Of them, the most stable is arrangement a and the least stable is arrangement b.

=====

Arrangement a

GGA-PBE TaVGa2, relaxed; space-group type = No. 12
1.0
-3.4668 2.5967 1.4818
0.1152 -4.0548 0.3036
3.2165 2.7008 2.7923
Ta Ga V
1 2 1
direct
0.5000 0.5000 0.0000 Ta
0.7429 0.9858 0.7264 Ga
0.2571 0.0142 0.2736 Ga
0.0000 0.5000 0.5000 V

=====

Arrangement b

GGA-PBE TaVGa2, relaxed; space-group type = No. 160
1.0
2.8782 0.0000 0.0000
1.4391 2.4926 0.0000
1.4391 0.8309 8.8990
Ga V Ta
2 1 1
direct
0.0871 0.0871 0.7386 Ga
0.2464 0.2464 0.2609 Ga
0.5003 0.5003 0.4990 V
0.6662 0.6662 0.0015 Ta

=====

Arrangement c

GGA-PBE TaVGa2, relaxed; space-group type = No. 122
1.0
6.9797 0.0000 0.0000
0.0000 6.9797 0.0000
3.4899 3.4899 2.7153
V Ta Ga
2 2 4
direct
0.5000 0.5000 0.0000 V
0.2500 0.7500 0.5000 V
0.0000 0.0000 0.0000 Ta
0.7500 0.2500 0.5000 Ta
0.8750 0.8603 0.7500 Ga
0.1397 0.6250 0.2500 Ga
0.3750 0.3897 0.7500 Ga
0.6103 0.1250 0.2500 Ga

=====

Arrangement d

GGA-PBE TaVGa2, relaxed; space-group type = No. 123
1.0
4.0748 0.0000 0.0000
0.0000 3.8823 0.0000
0.0000 0.0000 3.8823
Ga V Ta
2 1 1
direct
0.0000 0.5000 0.0000 Ga
0.0000 0.0000 0.5000 Ga
0.5000 0.5000 0.5000 V
0.5000 0.0000 0.0000 Ta

=====

Of them, the most stable is arrangement d and the least stable is arrangement c.

=====

Arrangement a

GGA-PBE Ta3VGa, relaxed; space-group type = No. 221
1.0
-2.8643 1.3449 3.3873
-0.3842 -4.3957 1.4203
3.6242 0.5969 2.8277
Ta Ga V
3 1 1
direct
0.0000 0.0000 0.5000 Ta
0.0000 0.5000 0.0000 Ta
0.5000 0.0000 0.0000 Ta
0.5000 0.5000 0.5000 Ga
0.0000 0.0000 0.0000 V

=====

Arrangement b

GGA-PBE Ta3VGa, relaxed; space-group type = No. 221
1.0
4.7158 0.0000 0.0000
0.0000 4.7158 0.0000
0.0000 0.0000 4.7158
Ta V Ga
3 1 1
direct
0.0000 0.0000 0.5000 Ta
0.5000 0.0000 0.0000 Ta
0.0000 0.5000 0.0000 Ta
0.5000 0.5000 0.5000 V
0.0000 0.0000 0.0000 Ga

=====

Of them, the most stable is arrangement a and the least stable is arrangement b.